Density functional theory data (PBE) for a geometry-optimized NaAu3S structure.

Lattice parameters (Å, degrees): 4.920 4.920 4.920 90.00 90.00 90.00
Positions (direct):
Na (0.000, 0.000, 0.000)
S (0.500, 0.500, 0.500)
Au (0.000, 0.500, 0.000)
Au (0.000, 0.000, 0.500)
Au (0.500, 0.000, 0.000)

Calculated values
Size of the total moment (Bohr magnetons per cell): 0.0
DFT total energy (eV per atom): -1.935
Crystal system: cubic
Space-group type: Pm-3m, No. 221
Formation energy without anion corrections (meV/atom): 1120
Offset from the most stable computed form (meV per atom): 968


Density functional theory data (PBE) for a geometry-optimized NaAuS structure.

Lattice parameters (Å, degrees): 5.491 8.400 8.400 90.00 90.00 90.00
Positions (direct):
Na (0.000, 0.728, 0.500)
Na (0.500, 0.500, 0.728)
Na (0.500, 0.500, 0.272)
Na (0.000, 0.272, 0.500)
Au (0.000, 0.665, 0.000)
Au (0.500, 0.000, 0.665)
Au (0.500, 0.000, 0.335)
Au (0.000, 0.335, 0.000)
S (0.000, 0.500, 0.757)
S (0.500, 0.243, 0.500)
S (0.500, 0.757, 0.500)
S (0.000, 0.500, 0.243)

Calculated values
Size of the total moment (Bohr magnetons per cell): 0.0
DFT total energy (eV per atom): -3.087
Crystal system: tetragonal
Space-group type: P4_2/mmc, No. 131
Formation energy without anion corrections (meV/atom): -179


Density functional theory data (PBE) for a geometry-optimized Na4AuS3 structure.

Lattice parameters (Å, degrees): 6.747 7.687 9.587 108.92 90.00 116.03
Last column: magnetic moment on the atom in μB.
Positions (direct):
Na (0.269, 0.214, 0.946)  0.00
Na (0.945, 0.214, 0.446)  0.00
Na (0.580, 0.441, 0.637)  0.00
Na (0.861, 0.441, 0.137)  0.00
Na (0.102, 0.620, 0.857)  0.00
Na (0.518, 0.620, 0.357)  0.00
Na (0.082, 0.795, 0.534)  0.00
Na (0.713, 0.795, 0.034)  0.00
S (0.672, 0.301, 0.843)  0.10
S (0.628, 0.301, 0.343)  0.10
S (0.298, 0.596, 0.604)  0.09
S (0.298, 0.596, 0.104)  0.09
S (0.886, 0.866, 0.787)  0.20
S (0.979, 0.866, 0.287)  0.20
Au (0.572, 0.948, 0.742)  0.23
Au (0.376, 0.948, 0.242)  0.23

Calculated values
Size of the total moment (Bohr magnetons per cell): 1.9
DFT total energy (eV per atom): -3.357
Crystal system: monoclinic
Space-group type: Cc, No. 9
Formation energy without anion corrections (meV/atom): -740